# 1
DFT (GGA-PBE) results for a geometry-optimized V2CrBr6 structure.

Computed properties:
energy relative to the lowest polymorph listed for this composition: 0.68 eV/f.u.
uncorrected formation energy: -665 meV/atom

Geometry as CIF:
```
data_V2CrBr6
_cell_length_a 14.028
_cell_length_b 11.370
_cell_length_c 6.683
_cell_angle_alpha 90.00
_cell_angle_beta 113.28
_cell_angle_gamma 90.00
_symmetry_space_group_name_H-M 'C 1 2/c 1'
_symmetry_Int_Tables_number 15
_symmetry_space_group_name_Hall '-C 2yc'
loop_
_atom_site_label
_atom_site_fract_x
_atom_site_fract_y
_atom_site_fract_z
V1 0.240 0.080 0.001
Cr1 0.000 0.402 0.750
Br1 0.130 0.426 0.222
Br2 0.132 0.073 0.227
Br3 0.139 0.255 0.745
```

=====

# 2
DFT (GGA-PBE) results for a geometry-optimized ReNi2Pt structure.

Computed properties:
energy relative to the lowest polymorph listed for this composition: 0.26 eV/f.u.
formation energy from the elements: -0.017 eV per atom

Geometry as CIF:
```
data_ReNi2Pt
_cell_length_a 4.026
_cell_length_b 2.637
_cell_length_c 9.818
_cell_angle_alpha 90.00
_cell_angle_beta 90.00
_cell_angle_gamma 90.00
_symmetry_space_group_name_H-M 'A m m 2'
_symmetry_Int_Tables_number 38
_symmetry_space_group_name_Hall 'A 2 -2'
loop_
_atom_site_label
_atom_site_fract_x
_atom_site_fract_y
_atom_site_fract_z
Re1 0.000 0.000 0.000
Ni1 0.000 0.000 0.735
Ni2 0.500 0.000 0.606
Pt1 0.500 0.000 0.350
```

=====

# 3
DFT (GGA-PBE) results for a geometry-optimized Sr3ThS4 structure.

Computed properties:
uncorrected formation energy: -1978 meV/atom

Geometry as CIF:
```
data_Sr3ThS4
_cell_length_a 8.487
_cell_length_b 11.892
_cell_length_c 4.148
_cell_angle_alpha 90.00
_cell_angle_beta 90.00
_cell_angle_gamma 90.00
_symmetry_space_group_name_H-M 'C m m m'
_symmetry_Int_Tables_number 65
_symmetry_space_group_name_Hall '-C 2 2'
loop_
_atom_site_label
_atom_site_fract_x
_atom_site_fract_y
_atom_site_fract_z
Sr1 0.000 0.000 0.000
Sr2 0.250 0.250 0.500
Th1 0.000 0.500 0.000
S1 0.000 0.258 0.000
S2 0.241 0.500 0.500
```

=====

# 4
DFT (GGA-PBE) results for a geometry-optimized SrYOs2 structure.

Computed properties:
energy relative to the lowest polymorph listed for this composition: 1.76 eV/f.u.
formation energy from the elements: 0.579 eV per atom

Geometry as CIF:
```
data_SrYOs2
_cell_length_a 3.743
_cell_length_b 3.743
_cell_length_c 6.838
_cell_angle_alpha 90.00
_cell_angle_beta 90.00
_cell_angle_gamma 90.00
_symmetry_space_group_name_H-M 'P 4/m m m'
_symmetry_Int_Tables_number 123
_symmetry_space_group_name_Hall '-P 4 2'
loop_
_atom_site_label
_atom_site_fract_x
_atom_site_fract_y
_atom_site_fract_z
Sr1 0.000 0.000 0.000
Y1 0.000 0.000 0.500
Os1 0.500 0.500 0.315
```

=====

# 5
DFT (GGA-PBE) results for a geometry-optimized ZrCoP2 structure.

Computed properties:
energy relative to the lowest polymorph listed for this composition: 1.65 eV/f.u.
formation energy from the elements: -0.311 eV per atom

Geometry as CIF:
```
data_ZrCoP2
_cell_length_a 3.066
_cell_length_b 3.066
_cell_length_c 6.006
_cell_angle_alpha 90.00
_cell_angle_beta 90.00
_cell_angle_gamma 90.00
_symmetry_space_group_name_H-M 'P 4/m m m'
_symmetry_Int_Tables_number 123
_symmetry_space_group_name_Hall '-P 4 2'
loop_
_atom_site_label
_atom_site_fract_x
_atom_site_fract_y
_atom_site_fract_z
Zr1 0.000 0.000 0.000
Co1 0.000 0.000 0.500
P1 0.500 0.500 0.303
```

=====

# 6
DFT (GGA-PBE) results for a geometry-optimized SmScPb2 structure.

Computed properties:
formation energy from the elements: -0.397 eV per atom

Geometry as CIF:
```
data_SmScPb2
_cell_length_a 3.478
_cell_length_b 3.478
_cell_length_c 8.905
_cell_angle_alpha 90.00
_cell_angle_beta 90.00
_cell_angle_gamma 90.00
_symmetry_space_group_name_H-M 'P 4/m m m'
_symmetry_Int_Tables_number 123
_symmetry_space_group_name_Hall '-P 4 2'
loop_
_atom_site_label
_atom_site_fract_x
_atom_site_fract_y
_atom_site_fract_z
Sm1 0.000 0.000 0.000
Sc1 0.000 0.000 0.500
Pb1 0.500 0.500 0.266
```

=====

# 7
DFT (GGA-PBE) results for a geometry-optimized TmScTlTc structure.

Computed properties:
formation energy from the elements: -0.119 eV per atom

Geometry as CIF:
```
data_TmScTlTc
_cell_length_a 6.958
_cell_length_b 6.958
_cell_length_c 6.958
_cell_angle_alpha 90.00
_cell_angle_beta 90.00
_cell_angle_gamma 90.00
_symmetry_space_group_name_H-M 'F -4 3 m'
_symmetry_Int_Tables_number 216
_symmetry_space_group_name_Hall 'F -4 2 3'
loop_
_atom_site_label
_atom_site_fract_x
_atom_site_fract_y
_atom_site_fract_z
Tm1 0.000 0.000 0.000
Sc1 0.000 0.000 0.500
Tl1 0.250 0.250 0.750
Tc1 0.250 0.250 0.250
```

=====

# 8
DFT (GGA-PBE) results for a geometry-optimized WSeN2 structure.

Computed properties:
uncorrected formation energy: 342 meV/atom

Geometry as CIF:
```
data_WSeN2
_cell_length_a 6.073
_cell_length_b 6.073
_cell_length_c 8.595
_cell_angle_alpha 90.00
_cell_angle_beta 90.00
_cell_angle_gamma 90.00
_symmetry_space_group_name_H-M 'I -4 2 d'
_symmetry_Int_Tables_number 122
_symmetry_space_group_name_Hall 'I -4 2bw'
loop_
_atom_site_label
_atom_site_fract_x
_atom_site_fract_y
_atom_site_fract_z
W1 0.000 0.000 0.000
Se1 0.000 0.000 0.500
N1 0.001 0.250 0.125
```

=====

Total energy list, top to bottom, in eV/atom: -4.88; -7.53; -5.60; -7.07; -6.93; -5.01; -6.00; -7.93
Total magnetization list, top to bottom, in μB per cell: 40.0; 0.0; 0.0; 2.3; 0.5; 0.4; 0.0; 7.7
Calculated volume list, top to bottom, in Å³ per cell: 979; 104; 419; 96; 56; 108; 337; 317